The following is a DFT calculation (PBE+U) of a geometry-optimized PaCrClO4 structure. Values from VASP.

Calculated values
The uncorrected energy is -7.89 eV per atom. Its volume is 232.8 Å³/cell.

Geometry as Quantum ESPRESSO input:
```
&SYSTEM
  ibrav = 0, nat = 14, ntyp = 4
/
ATOMIC_SPECIES
O 16.00 O.upf
Cl 35.45 Cl.upf
Cr 52.00 Cr.upf
Pa 231.04 Pa.upf
CELL_PARAMETERS angstrom
-5.4618 0.4115 -2.9011
0.4867 -1.2506 -6.0511
-2.0894 -6.4841 -0.5243
ATOMIC_POSITIONS crystal
O 0.4868 0.1104 0.1445
Cl 0.0114 0.0114 0.2278
O 0.5132 0.8896 0.8555
O 0.4568 0.4568 0.7845
Cr 0.3643 0.3643 0.2809
Cl 0.9886 0.9886 0.7722
O 0.2850 0.2850 0.5465
O 0.5432 0.5432 0.2155
Pa 0.2394 0.2394 0.8725
O 0.8896 0.5132 0.8555
Cr 0.6357 0.6357 0.7191
Pa 0.7606 0.7606 0.1275
O 0.1104 0.4868 0.1445
O 0.7150 0.7150 0.4535
```